# CaSc2TiCu

An optimized crystal structure of CaSc2TiCu (PBE, Alexandria via LeMat-Bulk).

The value obtained for the calculated total energy is -24.11 eV for the cell shown. Its energy of formation from the pure elements is 0.509 eV/atom.

It has space group P4/mmm (No. 123), with a = 5.022 Å, b = 5.022 Å, c = 4.905 Å, α = 90.00°, β = 90.00° and γ = 90.00°. The distinct sites, in fractional coordinates, are Ca at (0.000, 0.000, 0.000), Sc at (0.000, 0.500, 0.500), Ti at (0.500, 0.500, 0.500) and Cu at (0.500, 0.500, 0.000).